Li2LaTl2 | GGA-PBEsol | optimized geometry

The calculation puts the volume at 24.60 Å³/atom. For the excess energy over the best structure of this formula in the dataset, the calculation gives 19 meV per atom. The calculation puts the density of states at the Fermi level at 7.062 states/eV/cell. The calculation puts the formation energy from the elements at -0.289 eV/atom. Its total magnetization is 0.000 μB/f.u.

The structure belongs to space group I4/mmm (No. 139); the cell edges are 4.251, 4.251 and 13.609 Å and the angles 90.00°, 90.00° and 90.00°. The inequivalent atoms are Li at (0.000, 0.500, 0.250), La at (0.000, 0.000, 0.000) and Tl at (0.000, 0.000, 0.386).

***

Li2LaTl | GGA-PBEsol | optimized geometry

The calculation puts the volume at 26.86 Å³/atom. For the excess energy over the best structure of this formula in the dataset, the calculation gives 298 meV per atom. The calculation puts the density of states at the Fermi level at 19.684 states/eV/cell. The calculation puts the formation energy from the elements at 0.004 eV/atom. Its total magnetization is 0.002 μB/f.u.

The structure belongs to space group I-42d (No. 122); the cell edges are 4.612, 4.612 and 20.200 Å and the angles 90.00°, 90.00° and 90.00°. The inequivalent atoms are Li at (0.134, 0.250, 0.125), La at (0.000, 0.000, 0.500) and Tl at (0.000, 0.000, 0.000).

***

Li2LaTl | GGA-PBEsol | optimized geometry

The calculation puts the volume at 25.17 Å³/atom. For the excess energy over the best structure of this formula in the dataset, the calculation gives 172 meV per atom. The calculation puts the density of states at the Fermi level at 3.099 states/eV/cell. The calculation puts the formation energy from the elements at -0.122 eV/atom. Its total magnetization is 0.002 μB/f.u.

The structure belongs to space group P2/m (No. 10); the cell edges are 3.324, 5.213 and 5.819 Å and the angles 90.00°, 93.25° and 90.00°. The inequivalent atoms are Li at (0.153, 0.000, 0.277), La at (0.500, 0.500, 0.000) and Tl at (0.000, 0.500, 0.500).

***

Li2LaTl | GGA-PBEsol | optimized geometry

The calculation puts the volume at 23.04 Å³/atom. For the excess energy over the best structure of this formula in the dataset, the calculation gives 199 meV per atom. The calculation puts the density of states at the Fermi level at 3.546 states/eV/cell. The calculation puts the formation energy from the elements at -0.095 eV/atom. Its total magnetization is 0.001 μB/f.u.

The structure belongs to space group P4/mmm (No. 123); the cell edges are 3.512, 3.512 and 7.473 Å and the angles 90.00°, 90.00° and 90.00°. The inequivalent atoms are Li at (0.000, 0.000, 0.194), La at (0.500, 0.500, 0.500) and Tl at (0.500, 0.500, 0.000).